(1)
{"formula": "Ca3Sn2AsPd8", "functional": "PBE-GGA", "state": "optimized geometry", "cell": [[5.5313, 0.0000, 0.0000], [-2.7656, 4.7902, 0.0000], [0.0000, 0.0000, 10.3417]], "species": ["Ca", "Ca", "Ca", "Sn", "Sn", "As", "Pd", "Pd", "Pd", "Pd", "Pd", "Pd", "Pd", "Pd"], "frac_coords": [[0.3333, 0.6667, 0.5641], [0.6667, 0.3333, 0.4359], [0.0000, 0.0000, 0.0000], [0.3333, 0.6667, 0.0982], [0.6667, 0.3333, 0.9018], [0.0000, 0.0000, 0.5000], [0.3333, 0.6667, 0.8475], [0.6667, 0.3333, 0.1525], [0.1649, 0.8351, 0.2998], [0.8351, 0.1649, 0.7002], [0.1649, 0.3297, 0.2998], [0.8351, 0.6703, 0.7002], [0.6703, 0.8351, 0.2998], [0.3297, 0.1649, 0.7002]], "formation_energy_mev_per_atom": -614, "spacegroup": "No. 164", "total_energy_ev_per_atom": -4.914}

---

(2)
{"formula": "CaSn2As2Pd7", "functional": "PBE-GGA", "state": "optimized geometry", "cell": [[-2.2383, 2.2109, 3.0364], [-3.4239, 0.3146, -2.7011], [-9.8539, -7.3817, 4.4758]], "species": ["Ca", "Sn", "Sn", "As", "As", "Pd", "Pd", "Pd", "Pd", "Pd", "Pd", "Pd"], "frac_coords": [[0.0000, 0.0000, 0.0000], [0.6734, 0.6734, 0.3266], [0.3266, 0.3266, 0.6734], [0.8012, 0.8012, 0.6994], [0.1988, 0.1988, 0.3006], [0.5000, 0.5000, 0.0000], [0.2218, 0.2218, 0.5001], [0.7782, 0.7782, 0.4999], [0.8239, 0.3238, 0.1759], [0.3238, 0.8239, 0.1759], [0.6762, 0.1761, 0.8241], [0.1761, 0.6762, 0.8241]], "formation_energy_mev_per_atom": -380, "spacegroup": "No. 12", "total_energy_ev_per_atom": -5.018}

---

(3)
{"formula": "Ca3SnAs2Pd9", "functional": "PBE-GGA", "state": "optimized geometry", "cell": [[6.4784, 0.0000, 0.0000], [-3.2392, 5.6104, 0.0000], [0.0000, 0.0000, 9.3020]], "species": ["Ca", "Ca", "Ca", "Sn", "As", "As", "Pd", "Pd", "Pd", "Pd", "Pd", "Pd", "Pd", "Pd", "Pd"], "frac_coords": [[0.3333, 0.6667, 0.7234], [0.0000, 0.0000, 0.0000], [0.6667, 0.3333, 0.2766], [0.0000, 0.0000, 0.5000], [0.3333, 0.6667, 0.1717], [0.6667, 0.3333, 0.8283], [0.8585, 0.1415, 0.7264], [0.8585, 0.7169, 0.7264], [0.2831, 0.1415, 0.7264], [0.7169, 0.8585, 0.2736], [0.1415, 0.2831, 0.2736], [0.1415, 0.8585, 0.2736], [0.5000, 0.0000, 0.0000], [0.0000, 0.5000, 0.0000], [0.5000, 0.5000, 0.0000]], "formation_energy_mev_per_atom": -536, "spacegroup": "No. 164", "total_energy_ev_per_atom": -4.939}

---

(4)
{"formula": "SrCa2AsPd", "functional": "PBE-GGA", "state": "optimized geometry", "cell": [[5.5218, 0.0000, 0.0000], [0.0000, 5.0796, 0.0000], [0.0000, 0.0000, 5.5218]], "species": ["Sr", "As", "Ca", "Ca", "Pd"], "frac_coords": [[0.5000, 0.5000, 0.5000], [0.0000, 0.5000, 0.0000], [0.0000, 0.0000, 0.5000], [0.5000, 0.0000, 0.0000], [0.0000, 0.0000, 0.0000]], "formation_energy_mev_per_atom": -376, "spacegroup": "No. 123", "total_energy_ev_per_atom": -3.482}

---

(5)
{"formula": "SrCaAs2Pd2", "functional": "PBE-GGA", "state": "optimized geometry", "cell": [[-0.5310, -3.9004, -1.6714], [-0.7773, 0.6714, 4.1514], [-8.3234, 1.9349, -1.8713]], "species": ["Sr", "Ca", "As", "As", "Pd", "Pd"], "frac_coords": [[0.0000, 0.0000, 0.0000], [0.0000, 0.0000, 0.5000], [0.3333, 0.6667, 0.2576], [0.6667, 0.3333, 0.7424], [0.3333, 0.6667, 0.7365], [0.6667, 0.3333, 0.2635]], "formation_energy_mev_per_atom": -954, "spacegroup": "No. 164", "total_energy_ev_per_atom": -4.849}

---

(6)
{"formula": "Sr2CaAs4Pd3", "functional": "PBE-GGA", "state": "optimized geometry", "cell": [[4.4685, 0.0000, 0.0000], [0.0000, 4.4685, 0.0000], [0.0000, 0.0000, 11.1371]], "species": ["Sr", "Sr", "Ca", "As", "As", "As", "As", "Pd", "Pd", "Pd"], "frac_coords": [[0.5000, 0.0000, 0.2311], [0.0000, 0.5000, 0.7689], [0.5000, 0.5000, 0.5000], [0.5000, 0.5000, 0.0000], [0.0000, 0.0000, 0.0000], [0.5000, 0.0000, 0.6581], [0.0000, 0.5000, 0.3419], [0.0000, 0.0000, 0.5000], [0.5000, 0.0000, 0.8872], [0.0000, 0.5000, 0.1128]], "formation_energy_mev_per_atom": -835, "spacegroup": "No. 115", "total_energy_ev_per_atom": -4.789}

---

(7)
{"formula": "CaTaAsPd2", "functional": "PBE-GGA", "state": "optimized geometry", "cell": [[4.6800, 0.0000, 0.0000], [0.0000, 5.1553, 0.0000], [0.0000, 0.0000, 4.6800]], "species": ["As", "Ca", "Pd", "Pd", "Ta"], "frac_coords": [[0.0000, 0.0000, 0.0000], [0.0000, 0.5000, 0.0000], [0.0000, 0.0000, 0.5000], [0.5000, 0.0000, 0.0000], [0.5000, 0.5000, 0.5000]], "formation_energy_mev_per_atom": 643, "spacegroup": "No. 123", "total_energy_ev_per_atom": -5.135}

---

(8)
{"formula": "CaTbAs2Pd5", "functional": "PBE-GGA", "state": "optimized geometry", "cell": [[-1.4895, -2.2627, -3.3214], [3.9979, -0.4722, -1.4712], [0.8600, -7.5567, 4.7621]], "species": ["Ca", "Tb", "As", "As", "Pd", "Pd", "Pd", "Pd", "Pd"], "frac_coords": [[0.0000, 0.0000, 0.5000], [0.0000, 0.0000, 0.0000], [0.5000, 0.5000, 0.1374], [0.5000, 0.5000, 0.8626], [0.0000, 0.5000, 0.2716], [0.5000, 0.0000, 0.2716], [0.0000, 0.5000, 0.7284], [0.5000, 0.0000, 0.7284], [0.5000, 0.5000, 0.5000]], "formation_energy_mev_per_atom": -739, "spacegroup": "No. 123", "total_energy_ev_per_atom": -5.394}

---

(9)
{"formula": "Ca3TeAs2Pd9", "functional": "PBE-GGA", "state": "optimized geometry", "cell": [[-0.6752, -2.5043, 6.0071], [5.9738, 1.0157, -2.4685], [0.0198, 8.4172, 3.5113]], "species": ["Ca", "Ca", "Ca", "Te", "As", "As", "Pd", "Pd", "Pd", "Pd", "Pd", "Pd", "Pd", "Pd", "Pd"], "frac_coords": [[0.3333, 0.6667, 0.7238], [0.0000, 0.0000, 0.0000], [0.6667, 0.3333, 0.2762], [0.0000, 0.0000, 0.5000], [0.3333, 0.6667, 0.1710], [0.6667, 0.3333, 0.8290], [0.8563, 0.1437, 0.7245], [0.8563, 0.7125, 0.7245], [0.2875, 0.1437, 0.7245], [0.7125, 0.8563, 0.2755], [0.1437, 0.2875, 0.2755], [0.1437, 0.8563, 0.2755], [0.5000, 0.0000, 0.0000], [0.0000, 0.5000, 0.0000], [0.5000, 0.5000, 0.0000]], "spacegroup": "No. 164", "e_form_raw_ev_per_atom": -0.52, "total_energy_ev_per_atom": -4.870}

---

(10)
{"formula": "Ca2TiAs4Pd3", "functional": "PBE-GGA", "state": "optimized geometry", "cell": [[-1.0333, 3.6938, -1.7559], [0.5483, -1.6696, -3.8349], [-10.5929, -3.0516, -0.1860]], "species": ["Ca", "Ca", "Ti", "As", "As", "As", "As", "Pd", "Pd", "Pd"], "frac_coords": [[0.5000, 0.0000, 0.2407], [0.0000, 0.5000, 0.7593], [0.5000, 0.5000, 0.5000], [0.5000, 0.5000, 0.0000], [0.0000, 0.0000, 0.0000], [0.5000, 0.0000, 0.6349], [0.0000, 0.5000, 0.3651], [0.0000, 0.0000, 0.5000], [0.5000, 0.0000, 0.8614], [0.0000, 0.5000, 0.1386]], "formation_energy_mev_per_atom": -812, "spacegroup": "No. 115", "total_energy_ev_per_atom": -5.419}

---

(11)
{"formula": "Ca2TlAsPd6", "functional": "PBE-GGA", "state": "optimized geometry", "cell": [[5.6149, 0.0000, 0.0000], [0.0000, 8.6782, 0.0000], [0.0000, 0.0000, 8.8665]], "species": ["Ca", "Ca", "Ca", "Ca", "Tl", "Tl", "As", "As", "Pd", "Pd", "Pd", "Pd", "Pd", "Pd", "Pd", "Pd", "Pd", "Pd", "Pd", "Pd"], "frac_coords": [[0.5000, 0.7419, 0.2477], [0.0000, 0.2581, 0.7477], [0.5000, 0.7419, 0.7523], [0.0000, 0.2581, 0.2523], [0.0000, 0.7121, 0.5000], [0.5000, 0.2879, 0.0000], [0.5000, 0.2265, 0.5000], [0.0000, 0.7735, 0.0000], [0.5000, 0.0952, 0.2518], [0.5000, 0.0952, 0.7482], [0.0000, 0.9048, 0.2482], [0.0000, 0.9048, 0.7518], [0.2454, 0.9906, 0.5000], [0.7546, 0.9906, 0.5000], [0.2455, 0.4484, 0.5000], [0.7545, 0.4484, 0.5000], [0.7455, 0.5516, 0.0000], [0.2545, 0.5516, 0.0000], [0.2546, 0.0094, 0.0000], [0.7454, 0.0094, 0.0000]], "formation_energy_mev_per_atom": -504, "spacegroup": "No. 59", "total_energy_ev_per_atom": -4.722}

---

(12)
{"formula": "CaTlAs2Pd5", "functional": "PBE-GGA", "state": "optimized geometry", "cell": [[-1.4911, -0.6461, 4.4538], [-4.3422, -1.0268, -1.6027], [2.1526, -8.3394, -0.4890]], "species": ["Ca", "Tl", "As", "As", "Pd", "Pd", "Pd", "Pd", "Pd"], "frac_coords": [[0.0000, 0.0000, 0.5000], [0.0000, 0.0000, 0.0000], [0.5000, 0.5000, 0.2255], [0.5000, 0.5000, 0.7745], [0.0000, 0.5000, 0.1782], [0.5000, 0.0000, 0.1782], [0.0000, 0.5000, 0.8218], [0.5000, 0.0000, 0.8218], [0.5000, 0.5000, 0.5000]], "formation_energy_mev_per_atom": -294, "spacegroup": "No. 123", "total_energy_ev_per_atom": -4.698}

---

Repeat the eighth record exactly.
{"formula": "CaTbAs2Pd5", "functional": "PBE-GGA", "state": "optimized geometry", "cell": [[-1.4895, -2.2627, -3.3214], [3.9979, -0.4722, -1.4712], [0.8600, -7.5567, 4.7621]], "species": ["Ca", "Tb", "As", "As", "Pd", "Pd", "Pd", "Pd", "Pd"], "frac_coords": [[0.0000, 0.0000, 0.5000], [0.0000, 0.0000, 0.0000], [0.5000, 0.5000, 0.1374], [0.5000, 0.5000, 0.8626], [0.0000, 0.5000, 0.2716], [0.5000, 0.0000, 0.2716], [0.0000, 0.5000, 0.7284], [0.5000, 0.0000, 0.7284], [0.5000, 0.5000, 0.5000]], "formation_energy_mev_per_atom": -739, "spacegroup": "No. 123", "total_energy_ev_per_atom": -5.394}

---

Question: Number 8 is which compound?
Answer: CaTbAs2Pd5